Computed, not measured: a relaxed structure of Gd2TmSb at the PBE level of DFT.

Lattice parameters (Å, degrees): 3.978 3.978 29.134 90.00 90.00 120.00
Element x y z (fractional)
Gd1 0.000 0.000 0.235
Gd2 0.000 0.000 0.765
Gd3 0.333 0.667 0.431
Gd4 0.333 0.667 0.902
Gd5 0.667 0.333 0.098
Gd6 0.667 0.333 0.569
Tm1 0.000 0.000 0.000
Tm2 0.333 0.667 0.667
Tm3 0.667 0.333 0.333
Sb1 0.000 0.000 0.500
Sb2 0.333 0.667 0.167
Sb3 0.667 0.333 0.833

Summary:
- calculated total energy (eV/atom) = -9.5000
- E_form (uncorrected) (eV/atom) = -0.31
- energy relative to the lowest polymorph listed for this composition (meV per atom) = 205
- space-group type = R-3m, No. 166
- ρ (g/cm3) = 7.55


Computed, not measured: a relaxed structure of GdY2Sb at the PBE level of DFT.

Lattice parameters (Å, degrees): 4.007 4.007 29.066 90.00 90.00 120.00
Element x y z (fractional)
Gd1 0.000 0.000 0.000
Gd2 0.333 0.667 0.667
Gd3 0.667 0.333 0.333
Y1 0.000 0.000 0.233
Y2 0.000 0.000 0.767
Y3 0.333 0.667 0.433
Y4 0.333 0.667 0.900
Y5 0.667 0.333 0.100
Y6 0.667 0.333 0.567
Sb1 0.000 0.000 0.500
Sb2 0.333 0.667 0.167
Sb3 0.667 0.333 0.833

Summary:
- calculated total energy (eV/atom) = -8.1293
- E_form (uncorrected) (eV/atom) = -0.35
- energy relative to the lowest polymorph listed for this composition (meV per atom) = 151
- space-group type = R-3m, No. 166
- ρ (g/cm3) = 5.63


Computed, not measured: a relaxed structure of GdYSb2 at the PBE level of DFT.

Lattice parameters (Å, degrees): 4.405 4.405 21.581 90.00 90.00 120.00
Element x y z (fractional)
Gd1 0.000 0.000 0.000
Gd2 0.333 0.667 0.667
Gd3 0.667 0.333 0.333
Y1 0.000 0.000 0.500
Y2 0.333 0.667 0.167
Y3 0.667 0.333 0.833
Sb1 0.000 0.000 0.250
Sb2 0.000 0.000 0.750
Sb3 0.333 0.667 0.417
Sb4 0.333 0.667 0.916
Sb5 0.667 0.333 0.084
Sb6 0.667 0.333 0.583

Summary:
- calculated total energy (eV/atom) = -8.3664
- E_form (uncorrected) (eV/atom) = -1.17
- space-group type = R-3m, No. 166
- ρ (g/cm3) = 6.73